This record from Alexandria describes NpAl3B4O12 after structural relaxation. The functional is GGA-PBE.

Results
volume: 9.5 A^3/atom
space-group type: No. 155
size of the total moment: 4.00 Bohr magnetons per cell
total energy: -0.3014 Ha/atom

Unit cell a=5.971 b=5.971 c=5.971 alpha=104.14 beta=104.14 gamma=104.14
Positions (direct):
1 Np 0.000 0.000 0.000
2 Al 0.000 0.556 0.444
3 Al 0.444 0.000 0.556
4 Al 0.556 0.444 0.000
5 B 0.059 0.500 0.941
6 B 0.500 0.500 0.500
7 B 0.500 0.941 0.059
8 B 0.941 0.059 0.500
9 O 0.028 0.620 0.773
10 O 0.090 0.910 0.500
11 O 0.227 0.380 0.972
12 O 0.351 0.649 0.500
13 O 0.380 0.972 0.227
14 O 0.500 0.090 0.910
15 O 0.500 0.351 0.649
16 O 0.620 0.773 0.028
17 O 0.649 0.500 0.351
18 O 0.773 0.028 0.620
19 O 0.910 0.500 0.090
20 O 0.972 0.227 0.380